A geometry-optimized HfFeB structure, computed with PBE-GGA.

abc: 5.677 5.677 5.677
angles: 90.00 90.00 90.00
Space group F-43m (No. 216)
Asymmetric unit:
1 Hf 0.000 0.000 0.000 (multiplicity 4)
2 Fe 0.250 0.250 0.250 (multiplicity 4)
3 B 0.250 0.250 0.750 (multiplicity 4)

Summary:
**Total energy**: -7.325 eV/atom

A geometry-optimized DyGeBi structure, computed with PBE-GGA.

abc: 7.239 7.239 7.239
angles: 90.00 90.00 90.00
Space group F-43m (No. 216)
Asymmetric unit:
1 Dy 0.000 0.000 0.000 (multiplicity 4)
2 Ge 0.000 0.000 0.500 (multiplicity 4)
3 Bi 0.250 0.250 0.250 (multiplicity 4)

Summary:
**Total energy**: -4.405 eV/atom
**Distance to the lowest polymorph of the same formula**: 0.1345 eV/atom

A geometry-optimized Lu4Si2CN structure, computed with PBE-GGA.

abc: 3.4412 3.4412 14.0912
angles: 90.00 90.00 120.00
Space group P-3m1 (No. 164)
Asymmetric unit:
1 Lu 0.3333 0.6667 0.0931 (multiplicity 2)
2 Lu 0.3333 0.6667 0.4073 (multiplicity 2)
3 Si 0.3333 0.6667 0.7464 (multiplicity 2)
4 C 0.0000 0.0000 0.0000 (multiplicity 1)
5 N 0.0000 0.0000 0.5000 (multiplicity 1)

Summary:
**Total energy**: -6.602 eV/atom

- Which formula does entry 2 have?
  DyGeBi